[1]
The following is a PBE-GGA calculation of a relaxed Na3SnP crystal, from Alexandria.

Properties
Its formation energy is -0.173 eV/atom. The relative energy among the computed polymorphs comes out at 66 meV/atom.

Cell lengths 7.1347, 7.1347, 7.3064 Å; angles 107.84, 119.48, 100.51 degrees
Last column: nearest neighbours and their distance in Å.
Atoms (fractional coordinates):
1 Na 0.8432 0.0364 0.2724  2 P 2.84-3.17
2 Na 0.2360 0.4292 0.2724  2 P 2.84-3.17
3 Na 0.7640 0.5708 0.7276  2 P 2.84-3.17
4 Na 0.7185 0.4563 0.1747  2 P 2.86-3.14
5 Na 0.1568 0.9636 0.7276  2 P 2.84-3.17
6 Na 0.2815 0.5437 0.8253  2 P 2.86-3.14
7 Sn 0.7255 0.0689 0.7943  2 P 2.64-2.66
8 Sn 0.2745 0.9311 0.2057  2 P 2.64-2.66
9 P 0.6015 0.7812 0.3827  2 Sn 2.64-2.66, 3 Na 2.84-2.86
10 P 0.3985 0.2188 0.6173  2 Sn 2.64-2.66, 3 Na 2.84-2.86


[2]
The following is a PBE-GGA calculation of a relaxed Sc12InCo5 crystal, from Alexandria.

Properties
Its formation energy is -0.319 eV/atom.

Cell lengths 7.6917, 7.6917, 7.6917 Å; angles 105.80, 110.80, 111.87 degrees
Last column: nearest neighbours and their distance in Å.
Atoms (fractional coordinates):
1 Sc 0.5369 0.8155 0.7214  4 Co 2.73-2.91
2 Sc 0.4631 0.1845 0.2786  4 Co 2.73-2.91
3 Sc 0.9059 0.1845 0.7214  4 Co 2.73-2.91
4 Sc 0.0941 0.8155 0.2786  4 Co 2.73-2.91
5 Sc 0.6979 0.6853 0.3832  3 Co 2.51-2.71
6 Sc 0.3021 0.3147 0.6168  3 Co 2.51-2.71
7 Sc 0.3021 0.6853 0.9875  3 Co 2.51-2.71
8 Sc 0.6979 0.3147 0.0125  3 Co 2.51-2.71
9 Sc 0.8052 0.5840 0.7788  2 Co 2.52-2.65
10 Sc 0.1948 0.4160 0.2212  2 Co 2.52-2.65
11 Sc 0.1948 0.9736 0.7788  2 Co 2.52-2.65
12 Sc 0.8052 0.0264 0.2212  2 Co 2.52-2.65
13 In 0.0000 0.5000 0.5000  12 Sc 3.08-3.34
14 Co 0.6361 0.6361 0.0000  1 Co 2.35, 2 Sc 2.52
15 Co 0.3639 0.3639 0.0000  1 Co 2.35, 2 Sc 2.52
16 Co 0.5000 0.1185 0.6185  1 Co 2.20
17 Co 0.5000 0.8815 0.3815  1 Co 2.20
18 Co 0.0000 0.0000 0.0000  8 Sc 2.65-2.91


- Which value of formation energy does entry 1 give?
  -0.173 eV/atom


- The lowest formation energy belongs to which entry?
  Sc12InCo5


Copy entry 1 word for word.
The following is a PBE-GGA calculation of a relaxed Na3SnP crystal, from Alexandria.

Properties
Its formation energy is -0.173 eV/atom. The relative energy among the computed polymorphs comes out at 66 meV/atom.

Cell lengths 7.1347, 7.1347, 7.3064 Å; angles 107.84, 119.48, 100.51 degrees
Last column: nearest neighbours and their distance in Å.
Atoms (fractional coordinates):
1 Na 0.8432 0.0364 0.2724  2 P 2.84-3.17
2 Na 0.2360 0.4292 0.2724  2 P 2.84-3.17
3 Na 0.7640 0.5708 0.7276  2 P 2.84-3.17
4 Na 0.7185 0.4563 0.1747  2 P 2.86-3.14
5 Na 0.1568 0.9636 0.7276  2 P 2.84-3.17
6 Na 0.2815 0.5437 0.8253  2 P 2.86-3.14
7 Sn 0.7255 0.0689 0.7943  2 P 2.64-2.66
8 Sn 0.2745 0.9311 0.2057  2 P 2.64-2.66
9 P 0.6015 0.7812 0.3827  2 Sn 2.64-2.66, 3 Na 2.84-2.86
10 P 0.3985 0.2188 0.6173  2 Sn 2.64-2.66, 3 Na 2.84-2.86